No. 1
# ZrCl3

A relaxed structure of ZrCl3 (PBE-GGA, Alexandria).

The structure in extended XYZ format:
```
4
Lattice="-2.787 1.457 -2.922 0.235 -3.742 -2.091 -3.256 -1.518 2.349" Properties=species:S:1:pos:R:3 pbc="T T T"
Zr 0.000 0.000 0.000
Cl -1.511 -2.630 0.129
Cl -3.022 -0.030 -0.286
Cl -1.276 -1.142 -2.506
```

formation energy (no corrections): -239 kJ/mol of formula units

=====

No. 2
# K4ZrMn

A relaxed structure of K4ZrMn (PBE-GGA, Alexandria).

The structure in extended XYZ format:
```
6
Lattice="0.000 5.109 5.109 5.109 0.000 5.109 5.109 5.109 0.000" Properties=species:S:1:pos:R:3 pbc="T T T"
K 3.834 6.385 6.385
K 6.385 6.385 3.834
K 6.385 3.834 6.385
K 3.834 3.834 3.834
Zr 0.000 0.000 0.000
Mn 7.664 7.664 7.664
```

formation energy: 1.206 eV/atom

=====

No. 3
# TbGdRh

A relaxed structure of TbGdRh (PBE-GGA, Alexandria).

The structure in extended XYZ format:
```
3
Lattice="-1.317 -2.630 -3.836 3.031 -3.290 -1.831 -0.951 -4.711 0.511" Properties=species:S:1:pos:R:3 pbc="T T T"
Rh 0.190 -2.658 -1.289
Gd 0.000 0.000 0.000
Tb 0.381 -5.316 -2.577
```

formation energy: -0.555 eV/atom
excess energy over the best structure of this formula in the dataset: 0.0000 eV/atom

=====

No. 4
# Ca4AcCd

A relaxed structure of Ca4AcCd (PBE-GGA, Alexandria).

The structure in extended XYZ format:
```
6
Lattice="-1.029 -1.076 -3.624 3.454 -1.793 -0.449 -5.810 -12.540 5.372" Properties=species:S:1:pos:R:3 pbc="T T T"
Ca 0.115 -3.802 -1.022
Ca -3.621 -7.816 3.348
Ca -2.189 -4.725 2.024
Ca -3.501 -11.607 2.322
Ac 0.000 0.000 0.000
Cd -1.693 -7.704 0.650
```

formation energy: -0.092 eV/atom
excess energy over the best structure of this formula in the dataset: 0.0000 eV/atom

=====

No. 5
# Tm5Tc2Hg2

A relaxed structure of Tm5Tc2Hg2 (PBE-GGA, Alexandria).

The structure in extended XYZ format:
```
18
Lattice="6.810 0.000 2.472 0.000 7.372 0.000 0.595 0.000 8.977" Properties=species:S:1:pos:R:3 pbc="T T T"
Tm 0.000 0.000 0.000
Tm 3.405 3.686 1.236
Tm 3.484 1.321 7.834
Tm 5.922 6.051 8.719
Tm 2.517 5.007 7.483
Tm 6.889 2.365 9.070
Tm 3.921 6.051 3.615
Tm 1.483 1.321 2.731
Tm 4.888 2.365 3.967
Tm 0.516 5.007 2.379
Tc 0.775 2.802 0.281
Tc 6.035 4.570 2.191
Tc 2.630 6.488 0.955
Tc 4.180 0.884 1.517
Hg 1.840 0.000 5.546
Hg 5.245 3.686 6.782
Hg 5.565 0.000 5.903
Hg 2.160 3.686 4.667
```

formation energy: -0.269 eV/atom

=====

No. 6
# La6Pt2CCl3

A relaxed structure of La6Pt2CCl3 (PBE-GGA, Alexandria).

The structure in extended XYZ format:
```
12
Lattice="-2.219 -6.304 -2.572 2.155 0.521 6.810 -6.868 3.501 0.655" Properties=species:S:1:pos:R:3 pbc="T T T"
La -6.161 -2.767 2.396
La -1.495 -3.695 3.385
La -0.772 0.486 2.497
La -4.832 -0.693 5.247
La -5.438 1.413 1.507
La -2.101 -1.589 -0.355
Pt 0.694 -1.759 3.676
Pt -0.758 -4.025 0.561
C 0.000 0.000 0.000
Cl -2.027 1.106 5.534
Cl -4.906 -3.388 -0.642
Cl -3.466 -1.141 2.446
```

formation energy (no corrections): -1454 kJ/mol of formula units

=====

No. 7
# La8Tb4Ce

A relaxed structure of La8Tb4Ce (PBE-GGA, Alexandria).

The structure in extended XYZ format:
```
13
Lattice="10.541 -0.001 -5.687 -6.804 9.857 -0.001 -3.015 -2.081 7.025" Properties=species:S:1:pos:R:3 pbc="T T T"
La -0.597 6.865 -1.107
La 1.319 0.910 2.444
La 2.388 1.648 -1.851
La -3.543 1.176 6.045
La -1.666 6.127 3.188
La -6.961 6.127 6.045
La 7.683 1.648 -4.708
La 4.265 6.599 -4.708
Tb 0.000 0.000 0.000
Tb -3.402 4.928 0.000
Tb 1.868 4.928 -2.844
Tb 5.270 0.000 -2.844
Ce -4.909 3.888 3.512
```

formation energy: 0.390 eV/atom

=====

No. 8
# AcPmZnRh

A relaxed structure of AcPmZnRh (PBE-GGA, Alexandria).

The structure in extended XYZ format:
```
4
Lattice="-3.434 -0.859 -3.850 -4.654 -2.130 1.075 -4.341 2.899 -0.327" Properties=species:S:1:pos:R:3 pbc="T T T"
Ac -3.107 -0.023 -0.776
Rh -6.215 -0.045 -1.551
Zn 0.000 0.000 0.000
Pm -9.322 -0.068 -2.327
```

formation energy: -0.411 eV/atom
excess energy over the best structure of this formula in the dataset: 0.0568 eV/atom

=====

No. 9
# Ca4Ag4Hg3

A relaxed structure of Ca4Ag4Hg3 (PBE-GGA, Alexandria).

The structure in extended XYZ format:
```
11
Lattice="-3.547 0.269 0.961 1.178 -0.617 4.528 -1.245 15.793 5.053" Properties=species:S:1:pos:R:3 pbc="T T T"
Ca -2.617 13.831 7.570
Ca -0.997 1.613 2.972
Ca 0.032 5.373 5.691
Ca -3.647 10.072 4.851
Ag -1.548 12.904 4.698
Ag -2.180 7.178 4.065
Ag -1.434 8.266 6.477
Ag -2.066 2.541 5.844
Hg -1.128 11.037 6.792
Hg -2.486 4.408 3.750
Hg -3.615 15.444 10.542
```

formation energy: -0.361 eV/atom

=====

No. 10
# Ho2Ga3Cu4Ni

A relaxed structure of Ho2Ga3Cu4Ni (PBE-GGA, Alexandria).

The structure in extended XYZ format:
```
10
Lattice="-3.054 -1.328 2.065 2.234 -0.134 3.217 -2.810 10.152 2.375" Properties=species:S:1:pos:R:3 pbc="T T T"
Ho -2.262 1.991 1.654
Ho -0.958 7.430 3.362
Ga -1.405 5.076 1.187
Ga -3.949 8.085 3.080
Ga 0.729 1.335 1.937
Cu -0.410 -0.731 2.641
Cu 0.000 0.000 0.000
Cu -3.322 5.821 2.550
Cu 0.102 3.599 2.466
Ni -1.815 4.344 3.829
```

formation energy: -0.357 eV/atom

=====

No. 11
# Rb2PbIBr6

A relaxed structure of Rb2PbIBr6 (PBE-GGA, Alexandria).

The structure in extended XYZ format:
```
10
Lattice="-3.270 5.020 -6.906 -7.538 2.716 0.318 -0.356 8.437 -0.431" Properties=species:S:1:pos:R:3 pbc="T T T"
Rb -6.284 7.024 -3.483
Rb -0.965 7.900 -0.893
Pb -9.005 10.881 -5.629
I -3.408 2.809 -2.165
Br -2.991 6.348 -4.215
Br -7.969 5.808 -0.551
Br -7.907 8.155 -6.649
Br -6.776 10.797 -3.787
Br -2.507 10.944 -4.977
Br -4.358 7.712 -0.525
```

formation energy (no corrections): -908 kJ/mol of formula units
excess energy over the best structure of this formula in the dataset: 0.0000 eV/atom

=====

No. 12
# Sc3GaCu

A relaxed structure of Sc3GaCu (PBE-GGA, Alexandria).

The structure in extended XYZ format:
```
5
Lattice="-3.285 1.733 3.193 -3.572 -0.758 -3.264 -0.661 -4.518 1.772" Properties=species:S:1:pos:R:3 pbc="T T T"
Sc -1.786 -0.379 -1.632
Sc -0.330 -2.259 0.886
Sc -1.643 0.866 1.597
Cu 0.000 0.000 0.000
Ga -3.759 -1.772 0.850
```

formation energy: 0.108 eV/atom
excess energy over the best structure of this formula in the dataset: 0.0000 eV/atom

=====

No. 13
# BaLaTm

A relaxed structure of BaLaTm (PBE-GGA, Alexandria).

The structure in extended XYZ format:
```
3
Lattice="-0.644 1.507 3.491 -3.161 -2.179 0.357 6.406 -5.638 1.485" Properties=species:S:1:pos:R:3 pbc="T T T"
Tm -0.277 -2.493 3.155
Ba 0.031 -0.041 0.024
La 2.847 -3.777 2.155
```

formation energy: 0.169 eV/atom
excess energy over the best structure of this formula in the dataset: 0.0000 eV/atom

=====

No. 14
# ThSi3RuRh

A relaxed structure of ThSi3RuRh (PBE-GGA, Alexandria).

The structure in extended XYZ format:
```
12
Lattice="5.811 0.000 0.000 0.000 6.283 0.000 0.000 -3.142 6.329" Properties=species:S:1:pos:R:3 pbc="T T T"
Th 4.358 0.000 2.646
Th 1.453 3.142 3.682
Si 1.453 0.000 2.683
Si 0.000 1.873 0.000
Si 2.906 4.410 0.000
Si 2.906 1.873 0.000
Si 0.000 4.410 0.000
Si 4.358 3.142 3.646
Ru 1.453 0.000 0.411
Ru 4.358 3.142 5.918
Rh 1.453 0.000 4.917
Rh 4.358 3.142 1.412
```

formation energy (no corrections): -298 kJ/mol of formula units

=====

No. 15
# Tb11Y4Ho9

A relaxed structure of Tb11Y4Ho9 (PBE-GGA, Alexandria).

The structure in extended XYZ format:
```
24
Lattice="3.644 0.000 0.000 0.000 13.920 -5.955 0.000 -0.005 15.140" Properties=species:S:1:pos:R:3 pbc="T T T"
Tb 0.000 8.269 10.953
Tb 0.000 5.646 -1.768
Tb 0.000 13.322 3.300
Tb 0.000 0.593 5.886
Tb 0.000 8.807 1.791
Tb 0.000 5.108 7.395
Tb 0.000 11.680 -2.561
Tb 0.000 2.235 11.746
Tb 0.000 0.000 0.000
Tb 0.000 9.889 6.528
Tb 0.000 4.025 2.657
Y 1.822 7.726 8.153
Y 1.822 6.189 1.032
Y 1.822 10.533 3.900
Y 1.822 3.382 5.286
Ho 1.822 8.783 -1.263
Ho 1.822 5.132 10.449
Ho 1.822 2.290 8.573
Ho 1.822 11.625 0.613
Ho 1.822 10.950 9.446
Ho 1.822 2.965 -0.260
Ho 1.822 12.989 6.357
Ho 1.822 0.926 2.829
Ho 1.822 6.957 4.593
```

formation energy: 0.061 eV/atom

=====

No. 16
# Mg2GaMo3S8

A relaxed structure of Mg2GaMo3S8 (PBE-GGA, Alexandria).

The structure in extended XYZ format:
```
14
Lattice="-4.309 -2.307 5.593 -3.240 -6.678 -0.295 2.301 -5.464 4.474" Properties=species:S:1:pos:R:3 pbc="T T T"
Mg -0.647 -1.780 1.204
Mg -4.601 -12.669 8.569
Ga -2.624 -7.225 4.886
Mo -0.469 -6.071 2.090
Mo -1.004 -3.886 5.034
Mo -3.774 -4.492 2.649
S -1.366 -3.760 2.543
S -1.920 -9.634 4.682
S -4.926 -8.198 5.191
S -2.406 -7.646 7.360
S -0.321 -6.251 4.582
S -2.841 -6.803 2.413
S -3.882 -10.689 7.230
S -3.327 -4.815 5.091
```

formation energy (no corrections): -888 kJ/mol of formula units

=====

No. 17
# NaCaSn3

A relaxed structure of NaCaSn3 (PBE-GGA, Alexandria).

The structure in extended XYZ format:
```
10
Lattice="4.493 0.000 0.000 0.000 4.750 0.000 0.000 -2.375 15.062" Properties=species:S:1:pos:R:3 pbc="T T T"
Na 1.123 0.000 2.424
Na 3.370 2.375 12.638
Ca 1.123 2.375 8.899
Ca 3.370 0.000 6.163
Sn 1.123 0.000 11.259
Sn 3.370 2.375 3.802
Sn 1.123 0.000 14.211
Sn 3.370 2.375 0.851
Sn 3.370 0.000 9.402
Sn 1.123 2.375 5.660
```

formation energy: -0.244 eV/atom
excess energy over the best structure of this formula in the dataset: 0.0000 eV/atom

=====

No. 18
# Te2S2I

A relaxed structure of Te2S2I (PBE-GGA, Alexandria).

The structure in extended XYZ format:
```
5
Lattice="5.120 1.234 -0.780 0.119 5.265 -0.780 -2.818 -3.496 7.198" Properties=species:S:1:pos:R:3 pbc="T T T"
Te 3.006 3.729 0.836
Te -0.586 -0.726 4.803
S 0.005 2.473 2.819
S 2.415 0.530 2.819
I 0.000 0.000 0.000
```

formation energy (no corrections): 62 kJ/mol of formula units

=====

No. 19
# MoPtRh2

A relaxed structure of MoPtRh2 (PBE-GGA, Alexandria).

The structure in extended XYZ format:
```
4
Lattice="3.949 0.000 0.000 0.000 2.734 0.003 0.000 2.722 5.501" Properties=species:S:1:pos:R:3 pbc="T T T"
Mo 0.000 2.727 2.692
Rh 0.000 2.734 0.049
Rh 1.975 1.367 1.395
Pt 1.975 4.090 4.124
```

formation energy: -0.196 eV/atom
excess energy over the best structure of this formula in the dataset: 0.0601 eV/atom

=====

No. 20
# PrYTmAl

A relaxed structure of PrYTmAl (PBE-GGA, Alexandria).

The structure in extended XYZ format:
```
4
Lattice="-4.669 2.500 1.090 -4.576 -1.680 -2.340 -3.782 -2.501 2.945" Properties=species:S:1:pos:R:3 pbc="T T T"
Pr -3.257 -0.420 0.424
Y -9.771 -1.261 1.272
Tm -6.514 -0.840 0.848
Al 0.000 0.000 0.000
```

formation energy: -0.071 eV/atom
excess energy over the best structure of this formula in the dataset: 0.1324 eV/atom

=====

No. 21
# LaCrRh4

A relaxed structure of LaCrRh4 (PBE-GGA, Alexandria).

The structure in extended XYZ format:
```
6
Lattice="0.000 3.754 3.754 3.754 0.000 3.754 3.754 3.754 0.000" Properties=species:S:1:pos:R:3 pbc="T T T"
La 0.000 0.000 0.000
Cr 5.630 5.630 5.630
Rh 2.821 4.686 4.686
Rh 4.686 4.686 2.821
Rh 4.686 2.821 4.686
Rh 2.821 2.821 2.821
```

formation energy: -0.160 eV/atom

=====

No. 22
# CeEr3Ru3

A relaxed structure of CeEr3Ru3 (PBE-GGA, Alexandria).

The structure in extended XYZ format:
```
14
Lattice="-3.797 -5.074 -2.509 2.808 0.996 -6.130 4.895 -4.304 1.715" Properties=species:S:1:pos:R:3 pbc="T T T"
Ce 3.634 -6.975 -5.062
Ce 0.272 -1.407 -1.862
Er 1.351 -4.568 -5.194
Er 4.036 -2.277 -4.604
Er -0.130 -6.105 -2.320
Er 1.038 -0.631 -5.159
Er -2.026 -3.447 -3.480
Er 2.555 -3.814 -1.731
Ru 0.019 -4.629 -7.725
Ru 1.298 -7.734 -4.300
Ru 4.516 -4.777 -6.064
Ru 2.608 -0.648 -2.624
Ru -0.610 -3.605 -0.861
Ru 3.887 -3.753 0.800
```

formation energy: -0.340 eV/atom
excess energy over the best structure of this formula in the dataset: 0.0277 eV/atom

=====

No. 23
# Ce4Hg2H

A relaxed structure of Ce4Hg2H (PBE-GGA, Alexandria).

The structure in extended XYZ format:
```
7
Lattice="4.736 0.000 0.000 0.000 4.736 0.000 -2.368 -2.368 8.143" Properties=species:S:1:pos:R:3 pbc="T T T"
H 0.000 0.000 0.000
Hg 2.368 2.368 2.232
Hg 0.000 0.000 5.911
Ce 2.368 2.368 5.296
Ce 0.000 0.000 2.847
Ce 0.000 2.368 0.000
Ce 2.368 0.000 0.000
```

=====

No. 24
# AlCr2Sb

A relaxed structure of AlCr2Sb (PBE-GGA, Alexandria).

The structure in extended XYZ format:
```
4
Lattice="4.717 0.002 -0.050 1.106 4.586 0.050 -2.885 -2.328 2.918" Properties=species:S:1:pos:R:3 pbc="T T T"
Sb 2.372 -0.016 1.434
Al 0.567 2.276 1.484
Cr 5.822 4.587 0.000
Cr 2.913 2.295 0.000
```

formation energy (no corrections): 94 kJ/mol of formula units
excess energy over the best structure of this formula in the dataset: 0.0999 eV/atom

=====

DFT total energy: -4.14, -2.48, -9.24, -2.26, -5.12, -5.96, -4.52, -4.78, -2.21, -4.40, -2.66, -5.12, -3.61, -7.23, -4.86, -5.78, -3.31, -3.09, -8.09, -4.94, -7.49, -7.12, -4.13, -6.53 (eV/atom)